The following is a DFT calculation (GGA-PBE) of crystalline CdBC2S at its relaxed geometry.

abc: 3.8038 3.8242 3.8038
angles: 90.00 90.00 90.00
With the nearest neighbours (Å) after each atom.
Sites, in units of the cell vectors:
S1 0.0000 0.0000 0.0000  4 C 1.90, 2 B 1.91
B1 0.0000 0.5000 0.0000  2 S 1.91
C1 0.0000 0.0000 0.5000  2 S 1.90
C2 0.5000 0.0000 0.0000  2 S 1.90
Cd1 0.5000 0.5000 0.5000  4 B 2.69, 8 C 2.70

## Properties
D(E_F)	1.32	states/eV/f.u.
space group	P4/mmm, No. 123
size of the total moment	0.0000	μB/atom
energy	-3.809	eV per atom
energy relative to the elements, uncorrected	11.1	eV/f.u.


The following is a DFT calculation (GGA-PBE) of crystalline Pm2PaPtO8 at its relaxed geometry.

abc: 5.1333 5.1452 6.9263
angles: 89.99 89.99 91.45
With the nearest neighbours (Å) after each atom.
Sites, in units of the cell vectors:
Pm1 0.4991 0.4991 0.7586  6 O 2.32-2.38
Pm2 0.5009 0.5009 0.2414  6 O 2.32-2.38
Pa1 0.0000 0.0000 0.5000  6 O 2.12-2.26
Pt1 0.0000 0.0000 0.0000  6 O 1.97-2.07
O1 0.1765 0.8233 0.2333  1 Pt 2.07, 1 Pa 2.26
O2 0.7265 0.7253 0.9990  1 Pt 1.97
O3 0.8222 0.1755 0.2333  1 Pt 2.07, 1 Pa 2.26
O4 0.8235 0.1767 0.7667  1 Pt 2.07, 1 Pa 2.26
O5 0.2735 0.2747 0.0010  1 Pt 1.97
O6 0.1778 0.8245 0.7667  1 Pt 2.07, 1 Pa 2.26
O7 0.7053 0.7044 0.5005  1 Pa 2.12, 2 Pm 2.32
O8 0.2947 0.2956 0.4995  1 Pa 2.12, 2 Pm 2.32

## Properties
D(E_F)	7.02	states/eV/f.u.
space group	P-1, No. 2
size of the total moment	0.0793	μB/atom
energy	-7.900	eV per atom
energy relative to the elements, uncorrected	-30.1	eV/f.u.